1.
5
Lattice="5.994 0.000 0.000 0.000 5.994 0.000 0.000 0.000 5.994" Properties=species:S:1:pos:R:3 comment="Tl3GeBi GGA-PBE optimized geometry" space_group=Pm-3m e_tot_ev_per_cell=-11.87 formation_enthalpy_0k_ev_per_atom=0.75 crystal_system=cubic e_above_lowest_polymorph_ev_per_atom=0.408 vol_a3_per_atom=43.08 pbc="T T T"
Tl 0.000 2.997 0.000
Bi 0.000 0.000 0.000
Ge 2.997 2.997 2.997
Tl 2.997 0.000 0.000
Tl 0.000 0.000 2.997

2.
5
Lattice="5.617 0.000 0.000 0.000 5.617 0.000 0.000 0.000 5.617" Properties=species:S:1:pos:R:3 comment="TlGeBi3 GGA-PBE optimized geometry" space_group=Pm-3m e_tot_ev_per_cell=-16.50 formation_enthalpy_0k_ev_per_atom=0.43 crystal_system=cubic e_above_lowest_polymorph_ev_per_atom=0.000 vol_a3_per_atom=35.44 pbc="T T T"
Bi 2.809 0.000 0.000
Bi 0.000 2.809 0.000
Bi 0.000 0.000 2.809
Ge 0.000 0.000 0.000
Tl 2.809 2.809 2.809

3.
16
Lattice="-4.005 -2.751 2.902 0.691 -2.996 -7.406 9.082 -8.639 4.342" Properties=species:S:1:pos:R:3 comment="Tm5GeBi2 GGA-PBE optimized geometry" space_group=Cmcm e_tot_ev_per_cell=-72.98 formation_enthalpy_0k_ev_per_atom=-0.22 crystal_system=orthorhombic vol_a3_per_atom=35.20 pbc="T T T"
Bi 0.605 -8.017 -1.247
Bi 7.779 -8.859 2.337
Ge 1.703 -4.052 -1.492
Tm 2.476 -7.812 1.529
Bi 5.162 -6.369 1.086
Tm -0.268 -5.323 0.101
Tm 4.932 -12.719 0.266
Tm 3.291 -6.575 -1.691
Tm 0.835 -1.667 -0.428
Tm 3.298 -4.010 0.750
Tm 6.126 -11.283 3.274
Bi -2.012 -5.528 -2.498
Ge 4.065 -10.334 1.330
Tm 2.469 -10.377 -0.911
Tm -0.358 -3.103 -3.436
Tm 6.036 -9.063 -0.263